# PBE Nd5Tl2Co2, relaxed
# D(E_F) ... 1.081 states/eV/atom
# Total magnetization ... 0.000 μB/f.u.
# Total energy ... -176.87 eV/cell
# ΔE_f ... -0.16 eV per atom
# Mass density ... 8.362 g/cm³
data_Nd5Tl2Co2
_cell_length_a 16.357
_cell_length_b 8.501
_cell_length_c 7.128
_cell_angle_alpha 90.00
_cell_angle_beta 90.00
_cell_angle_gamma 90.00
_symmetry_space_group_name_H-M 'C m c e'
_symmetry_Int_Tables_number 64
_symmetry_space_group_name_Hall '-C 2ac 2'
loop_
_atom_site_label
_atom_site_type_symbol
_atom_site_fract_x
_atom_site_fract_y
_atom_site_fract_z
Nd1 Nd 0.000 0.000 0.000
Nd2 Nd 0.116 0.182 0.347
Tl1 Tl 0.217 0.000 0.000
Co1 Co 0.000 0.101 0.618